Material: Pr2Ho2Se5
Method: DFT, PBE-GGA
State: optimized geometry

Computed properties:
- ΔE_f (raw): -1751.6 meV/atom
- Total magnetization: 0.000 μB/f.u.

abc: 8.424 8.424 7.757
angles: 90.00 90.00 55.31
Fractional coordinates of all 18 atoms:
Pr 0.198 0.198 0.000
Pr 0.302 0.302 0.500
Pr 0.698 0.698 0.500
Pr 0.802 0.802 0.000
Ho 0.151 0.849 0.657
Ho 0.349 0.651 0.157
Ho 0.651 0.349 0.843
Ho 0.849 0.151 0.343
Se 0.000 0.000 0.000
Se 0.025 0.709 0.346
Se 0.209 0.525 0.846
Se 0.291 0.975 0.346
Se 0.475 0.791 0.846
Se 0.500 0.500 0.500
Se 0.525 0.209 0.154
Se 0.709 0.025 0.654
Se 0.791 0.475 0.154
Se 0.975 0.291 0.654

***

Material: LaTlO2
Method: DFT, PBE-GGA
State: optimized geometry

Computed properties:
- ΔE_f (raw): -2153.5 meV/atom
- Total magnetization: 0.000 μB/f.u.

abc: 6.969 6.969 6.969
angles: 129.47 129.47 74.25
Fractional coordinates of all 8 atoms:
La 0.000 0.000 0.000
La 0.750 0.250 0.500
Tl 0.250 0.750 0.500
Tl 0.500 0.500 0.000
O 0.053 0.625 0.928
O 0.375 0.303 0.428
O 0.697 0.125 0.072
O 0.875 0.947 0.572

***

Material: LaGaAg4
Method: DFT, PBE-GGA
State: optimized geometry

Computed properties:
- Total magnetization: 0.000 μB/f.u.
- Formation energy from the elements: -1.18 eV/f.u.

abc: 5.636 5.636 5.636
angles: 60.00 60.00 60.00
Fractional coordinates of all 6 atoms:
La 0.000 0.000 0.000
Ga 0.750 0.750 0.750
Ag 0.376 0.376 0.376
Ag 0.376 0.376 0.873
Ag 0.376 0.873 0.376
Ag 0.873 0.376 0.376

***

Material: MgZrTlAg
Method: DFT, PBE-GGA
State: optimized geometry

Computed properties:
- Total magnetization: 0.000 μB/f.u.
- Formation energy from the elements: -0.12 eV/f.u.

abc: 4.932 4.932 4.932
angles: 60.00 60.00 60.00
Fractional coordinates of all 4 atoms:
Mg 0.000 0.000 0.000
Zr 0.500 0.500 0.500
Tl 0.250 0.250 0.250
Ag 0.750 0.750 0.750

***

Material: YMn2Al2
Method: DFT, PBE-GGA
State: optimized geometry

Computed properties:
- Total magnetization: 4.773 μB/f.u.
- Formation energy from the elements: -0.54 eV/f.u.

abc: 7.589 7.589 2.898
angles: 90.00 90.00 90.00
Fractional coordinates of all 10 atoms:
Y 0.000 0.000 0.000
Y 0.500 0.500 0.000
Mn 0.172 0.328 0.500
Mn 0.328 0.828 0.500
Mn 0.672 0.172 0.500
Mn 0.828 0.672 0.500
Al 0.122 0.622 0.000
Al 0.378 0.122 0.000
Al 0.622 0.878 0.000
Al 0.878 0.378 0.000

***

Material: Tb4YTl2
Method: DFT, PBE-GGA
State: optimized geometry

Computed properties:
- Total magnetization: 0.420 μB/f.u.
- Formation energy from the elements: 0.72 eV/f.u.

abc: 6.269 6.269 6.182
angles: 93.57 93.57 115.86
Fractional coordinates of all 7 atoms:
Tb 0.000 0.500 0.500
Tb 0.212 0.788 0.000
Tb 0.500 0.000 0.500
Tb 0.788 0.212 0.000
Y 0.000 0.000 0.500
Tl 0.424 0.424 0.235
Tl 0.576 0.576 0.765

***

Material: AcTb5Nd12
Method: DFT, PBE-GGA
State: optimized geometry

Computed properties:
- Total magnetization: 0.000 μB/f.u.
- Formation energy from the elements: 0.40 eV/f.u.

abc: 10.999 10.999 5.181
angles: 90.00 90.00 90.02
Fractional coordinates of all 18 atoms:
Ac 0.000 0.000 0.000
Tb 0.170 0.830 0.500
Tb 0.333 0.667 0.000
Tb 0.500 0.500 0.500
Tb 0.667 0.333 0.000
Tb 0.830 0.170 0.500
Nd 0.001 0.664 0.000
Nd 0.170 0.170 0.500
Nd 0.170 0.502 0.500
Nd 0.336 0.336 0.000
Nd 0.336 0.999 0.000
Nd 0.498 0.830 0.500
Nd 0.502 0.170 0.500
Nd 0.664 0.001 0.000
Nd 0.664 0.664 0.000
Nd 0.830 0.498 0.500
Nd 0.830 0.830 0.500
Nd 0.999 0.336 0.000

***

Material: ErIn8Hg6
Method: DFT, PBE-GGA
State: optimized geometry

Computed properties:
- Total magnetization: 0.000 μB/f.u.
- Formation energy from the elements: -0.73 eV/f.u.

abc: 7.995 7.995 7.995
angles: 65.03 65.03 65.03
Fractional coordinates of all 15 atoms:
Er 0.000 0.000 0.000
In 0.112 0.723 0.727
In 0.273 0.888 0.277
In 0.277 0.273 0.888
In 0.416 0.416 0.416
In 0.584 0.584 0.584
In 0.723 0.727 0.112
In 0.727 0.112 0.723
In 0.888 0.277 0.273
Hg 0.157 0.549 0.160
Hg 0.160 0.157 0.549
Hg 0.451 0.840 0.843
Hg 0.549 0.160 0.157
Hg 0.840 0.843 0.451
Hg 0.843 0.451 0.840

***

Material: Tm8AlAu2
Method: DFT, PBE-GGA
State: optimized geometry

Computed properties:
- Total magnetization: 0.004 μB/f.u.
- Formation energy from the elements: -3.13 eV/f.u.

abc: 8.145 8.145 5.311
angles: 99.74 99.74 116.10
Fractional coordinates of all 11 atoms:
Tm 0.088 0.326 0.594
Tm 0.228 0.772 0.000
Tm 0.326 0.088 0.594
Tm 0.388 0.388 0.194
Tm 0.612 0.612 0.806
Tm 0.674 0.912 0.406
Tm 0.772 0.228 0.000
Tm 0.912 0.674 0.406
Al 0.000 0.000 0.000
Au 0.305 0.695 0.500
Au 0.695 0.305 0.500

***

Material: Ca2Hg4Pb
Method: DFT, PBE-GGA
State: optimized geometry

Computed properties:
- Total magnetization: 0.000 μB/f.u.
- Formation energy from the elements: -2.57 eV/f.u.

abc: 8.242 8.242 8.242
angles: 38.17 38.17 38.17
Fractional coordinates of all 7 atoms:
Ca 0.220 0.220 0.220
Ca 0.780 0.780 0.780
Hg 0.072 0.072 0.072
Hg 0.360 0.360 0.360
Hg 0.640 0.640 0.640
Hg 0.928 0.928 0.928
Pb 0.500 0.500 0.500

***

Material: SnPb2W
Method: DFT, PBE-GGA
State: optimized geometry

Computed properties:
- Total magnetization: 0.001 μB/f.u.
- Formation energy from the elements: 4.02 eV/f.u.

abc: 11.405 11.405 11.405
angles: 158.41 158.41 30.72
Fractional coordinates of all 8 atoms:
Sn 0.000 0.000 0.000
Sn 0.750 0.250 0.500
Pb 0.129 0.625 0.004
Pb 0.375 0.379 0.504
Pb 0.621 0.125 0.996
Pb 0.875 0.871 0.496
W 0.250 0.750 0.500
W 0.500 0.500 0.000

***

Material: InSi2Sb
Method: DFT, PBE-GGA
State: optimized geometry

Computed properties:
- ΔE_f (raw): 239.4 meV/atom
- Total magnetization: 0.000 μB/f.u.

abc: 7.434 7.434 7.434
angles: 131.58 131.58 70.89
Fractional coordinates of all 8 atoms:
In 0.000 0.000 0.000
In 0.750 0.250 0.500
Si 0.123 0.625 0.998
Si 0.375 0.373 0.498
Si 0.627 0.125 0.002
Si 0.875 0.877 0.502
Sb 0.250 0.750 0.500
Sb 0.500 0.500 0.000

***

Material: Er7Sc2
Method: DFT, PBE-GGA
State: optimized geometry

Computed properties:
- Total magnetization: 0.000 μB/f.u.
- Formation energy from the elements: 0.39 eV/f.u.

abc: 5.983 5.983 8.453
angles: 90.00 90.00 120.00
Fractional coordinates of all 9 atoms:
Er 0.000 0.000 0.000
Er 0.000 0.336 0.672
Er 0.000 0.664 0.328
Er 0.336 0.000 0.672
Er 0.336 0.336 0.328
Er 0.664 0.000 0.328
Er 0.664 0.664 0.672
Sc 0.333 0.667 0.000
Sc 0.667 0.333 0.000

***

Material: Ac5Pt2RhO
Method: DFT, PBE-GGA
State: optimized geometry

Computed properties:
- ΔE_f (raw): -1272.3 meV/atom
- Total magnetization: 0.000 μB/f.u.

abc: 9.416 9.416 13.486
angles: 90.00 90.00 153.56
Fractional coordinates of all 18 atoms:
Ac 0.004 0.996 0.500
Ac 0.147 0.853 0.752
Ac 0.188 0.812 0.117
Ac 0.210 0.790 0.422
Ac 0.466 0.534 0.741
Ac 0.534 0.466 0.241
Ac 0.790 0.210 0.922
Ac 0.812 0.188 0.617
Ac 0.853 0.147 0.252
Ac 0.996 0.004 0.000
Pt 0.373 0.627 0.074
Pt 0.392 0.608 0.421
Pt 0.608 0.392 0.921
Pt 0.627 0.373 0.574
Rh 0.304 0.696 0.771
Rh 0.696 0.304 0.271
O 0.050 0.950 0.162
O 0.950 0.050 0.662

***

Material: SrTlPb3
Method: DFT, PBE-GGA
State: optimized geometry

Computed properties:
- Total magnetization: 0.721 μB/f.u.
- Formation energy from the elements: 2.91 eV/f.u.

abc: 6.137 6.137 6.137
angles: 90.00 90.00 90.00
Fractional coordinates of all 5 atoms:
Sr 0.000 0.000 0.000
Tl 0.500 0.500 0.500
Pb 0.000 0.000 0.500
Pb 0.000 0.500 0.000
Pb 0.500 0.000 0.000

***

Material: NiTeH
Method: DFT, PBE-GGA
State: optimized geometry

Computed properties:
- E: -3.89 eV per atom
- Total magnetization: 0.000 μB/f.u.

abc: 4.213 4.213 6.008
angles: 90.00 90.00 90.00
Fractional coordinates of all 6 atoms:
Ni 0.250 0.750 0.000
Ni 0.750 0.250 0.000
Te 0.250 0.250 0.222
Te 0.750 0.750 0.778
H 0.250 0.250 0.510
H 0.750 0.750 0.490

***

Material: LiAc2Zn4In3
Method: DFT, PBE-GGA
State: optimized geometry

Computed properties:
- Total magnetization: 0.002 μB/f.u.
- Formation energy from the elements: -3.26 eV/f.u.

abc: 4.664 4.664 11.093
angles: 90.00 90.00 90.00
Fractional coordinates of all 10 atoms:
Li 0.000 0.000 0.000
Ac 0.000 0.500 0.742
Ac 0.500 0.000 0.258
Zn 0.000 0.000 0.500
Zn 0.000 0.500 0.126
Zn 0.500 0.000 0.874
Zn 0.500 0.500 0.500
In 0.000 0.500 0.367
In 0.500 0.000 0.633
In 0.500 0.500 0.000

***

Material: CaZrTcGe2
Method: DFT, PBE-GGA
State: optimized geometry

Computed properties:
- Total magnetization: 0.469 μB/f.u.
- Formation energy from the elements: 0.52 eV/f.u.

abc: 4.886 4.886 5.037
angles: 90.00 90.00 90.00
Fractional coordinates of all 5 atoms:
Ca 0.000 0.000 0.000
Zr 0.500 0.500 0.000
Tc 0.500 0.500 0.500
Ge 0.000 0.500 0.500
Ge 0.500 0.000 0.500

***

Material: Na2U2TiS6
Method: DFT, PBE-GGA
State: optimized geometry

Computed properties:
- ΔE_f (raw): -1368.4 meV/atom
- Total magnetization: 6.004 μB/f.u.

abc: 6.572 6.572 7.189
angles: 98.82 98.82 119.44
Fractional coordinates of all 11 atoms:
Na 0.169 0.831 0.000
Na 0.831 0.169 0.000
U 0.335 0.665 0.500
U 0.665 0.335 0.500
Ti 0.000 0.000 0.500
S 0.072 0.389 0.717
S 0.237 0.237 0.282
S 0.389 0.072 0.717
S 0.611 0.928 0.283
S 0.763 0.763 0.718
S 0.928 0.611 0.283

***

Material: Nd6SnAs3S2
Method: DFT, PBE-GGA
State: optimized geometry

Computed properties:
- ΔE_f (raw): -1544.9 meV/atom
- Total magnetization: 0.000 μB/f.u.

abc: 9.517 9.517 8.554
angles: 102.78 102.78 25.75
Fractional coordinates of all 12 atoms:
Nd 0.002 0.002 0.263
Nd 0.328 0.328 0.914
Nd 0.333 0.333 0.416
Nd 0.667 0.667 0.584
Nd 0.672 0.672 0.086
Nd 0.998 0.998 0.737
Sn 0.500 0.500 0.000
As 0.166 0.166 0.831
As 0.500 0.500 0.500
As 0.834 0.834 0.169
S 0.170 0.170 0.339
S 0.830 0.830 0.661

***

Material: FeRuW2
Method: DFT, PBE-GGA
State: optimized geometry

Computed properties:
- Total magnetization: 2.589 μB/f.u.
- Formation energy from the elements: 0.64 eV/f.u.

abc: 3.193 4.269 4.298
angles: 90.00 90.00 90.00
Fractional coordinates of all 4 atoms:
Fe 0.000 0.000 0.000
Ru 0.500 0.000 0.500
W 0.000 0.500 0.500
W 0.500 0.500 0.000

***

Material: TaSnS2Cl
Method: DFT, PBE-GGA
State: optimized geometry

Computed properties:
- ΔE_f (raw): 852.8 meV/atom
- Total magnetization: 2.999 μB/f.u.

abc: 5.039 5.039 4.925
angles: 90.00 90.00 90.00
Fractional coordinates of all 5 atoms:
Ta 0.000 0.000 0.000
Sn 0.500 0.500 0.500
S 0.000 0.500 0.500
S 0.500 0.000 0.500
Cl 0.500 0.500 0.000

***

Material: SrHo2Se
Method: DFT, PBE-GGA
State: optimized geometry

Computed properties:
- ΔE_f (raw): -592.1 meV/atom
- Total magnetization: 0.000 μB/f.u.

abc: 10.739 10.739 10.739
angles: 20.66 20.66 20.66
Fractional coordinates of all 4 atoms:
Sr 0.000 0.000 0.000
Ho 0.112 0.112 0.112
Ho 0.888 0.888 0.888
Se 0.500 0.500 0.500